# 1
# TbPm2Tm3Te6 | Alexandria | PBE | optimized geometry
# - volume (Å³/atom) = 29.48
# - VASP energy (eV per cell) = -61.7
data_TbPm2Tm3Te6
_chemical_formula_sum 'Tb1 Pm2 Tm3 Te6'
_space_group_name_H-M_alt 'P 1'
_space_group_IT_number 1
_cell_length_a 9.8350
_cell_length_b 9.8350
_cell_length_c 8.8380
_cell_angle_alpha 104.73
_cell_angle_beta 104.73
_cell_angle_gamma 25.38
loop_
_space_group_symop_operation_xyz
'x,y,z'
loop_
_atom_site_label
_atom_site_type_symbol
_atom_site_fract_x
_atom_site_fract_y
_atom_site_fract_z
_atom_site_occupancy
Tb1 Tb 0.0000 0.0000 0.0000 1
Pm1 Pm 0.3313 0.3313 0.6630 1
Pm2 Pm 0.6687 0.6687 0.3370 1
Tm1 Tm 0.0000 0.0000 0.5000 1
Tm2 Tm 0.3303 0.3303 0.1651 1
Tm3 Tm 0.6697 0.6697 0.8349 1
Te1 Te 0.1624 0.1624 0.5922 1
Te2 Te 0.1667 0.1667 0.0745 1
Te3 Te 0.4963 0.4963 0.2524 1
Te4 Te 0.5037 0.5037 0.7476 1
Te5 Te 0.8333 0.8333 0.9255 1
Te6 Te 0.8376 0.8376 0.4078 1

---

# 2
# Tb2PmTmTe5 | Alexandria | PBE | optimized geometry
# - volume (Å³/atom) = 39.10
# - VASP energy (eV per cell) = -40.7
data_Tb2PmTmTe5
_chemical_formula_sum 'Tb2 Pm1 Tm1 Te5'
_space_group_name_H-M_alt 'P 1'
_space_group_IT_number 1
_cell_length_a 5.4842
_cell_length_b 5.4842
_cell_length_c 11.6997
_cell_angle_alpha 90.00
_cell_angle_beta 90.00
_cell_angle_gamma 90.00
loop_
_space_group_symop_operation_xyz
'x,y,z'
loop_
_atom_site_label
_atom_site_type_symbol
_atom_site_fract_x
_atom_site_fract_y
_atom_site_fract_z
_atom_site_occupancy
Tb1 Tb 0.0000 0.0000 0.1496 1
Tb2 Tb 0.0000 0.0000 0.8504 1
Pm1 Pm 0.5000 0.5000 0.5000 1
Tm1 Tm 0.5000 0.5000 0.0000 1
Te1 Te 0.0000 0.0000 0.5000 1
Te2 Te 0.0000 0.5000 0.0000 1
Te3 Te 0.5000 0.0000 0.0000 1
Te4 Te 0.5000 0.5000 0.2494 1
Te5 Te 0.5000 0.5000 0.7506 1

---

# 3
# TbPm2TmTe5 | Alexandria | PBE | optimized geometry
# - volume (Å³/atom) = 38.65
# - VASP energy (eV per cell) = -41.5
data_TbPm2TmTe5
_chemical_formula_sum 'Tb1 Pm2 Tm1 Te5'
_space_group_name_H-M_alt 'P 1'
_space_group_IT_number 1
_cell_length_a 5.4861
_cell_length_b 5.4861
_cell_length_c 11.5566
_cell_angle_alpha 90.00
_cell_angle_beta 90.00
_cell_angle_gamma 90.00
loop_
_space_group_symop_operation_xyz
'x,y,z'
loop_
_atom_site_label
_atom_site_type_symbol
_atom_site_fract_x
_atom_site_fract_y
_atom_site_fract_z
_atom_site_occupancy
Tb1 Tb 0.0000 0.0000 0.0000 1
Pm1 Pm 0.5000 0.5000 0.3393 1
Pm2 Pm 0.5000 0.5000 0.6607 1
Tm1 Tm 0.0000 0.0000 0.5000 1
Te1 Te 0.0000 0.0000 0.2472 1
Te2 Te 0.0000 0.0000 0.7528 1
Te3 Te 0.0000 0.5000 0.5000 1
Te4 Te 0.5000 0.0000 0.5000 1
Te5 Te 0.5000 0.5000 0.0000 1

---

# 4
# Tb3PmTm2Te6 | Alexandria | PBE | optimized geometry
# - volume (Å³/atom) = 29.42
# - VASP energy (eV per cell) = -61.8
data_Tb3PmTm2Te6
_chemical_formula_sum 'Tb3 Pm1 Tm2 Te6'
_space_group_name_H-M_alt 'P 1'
_space_group_IT_number 1
_cell_length_a 9.7391
_cell_length_b 9.7391
_cell_length_c 8.7905
_cell_angle_alpha 102.12
_cell_angle_beta 102.12
_cell_angle_gamma 25.70
loop_
_space_group_symop_operation_xyz
'x,y,z'
loop_
_atom_site_label
_atom_site_type_symbol
_atom_site_fract_x
_atom_site_fract_y
_atom_site_fract_z
_atom_site_occupancy
Tb1 Tb 0.0000 0.0000 0.0000 1
Tb2 Tb 0.3405 0.3405 0.6655 1
Tb3 Tb 0.6595 0.6595 0.3345 1
Pm1 Pm 0.0000 0.0000 0.5000 1
Tm1 Tm 0.3362 0.3362 0.1691 1
Tm2 Tm 0.6638 0.6638 0.8309 1
Te1 Te 0.1696 0.1696 0.0819 1
Te2 Te 0.1720 0.1720 0.5917 1
Te3 Te 0.4963 0.4963 0.2427 1
Te4 Te 0.5037 0.5037 0.7573 1
Te5 Te 0.8280 0.8280 0.4083 1
Te6 Te 0.8304 0.8304 0.9181 1

---

# 5
# Tb3Pm3YTe8 | Alexandria | PBE | optimized geometry
# - volume (Å³/atom) = 32.16
# - VASP energy (eV per cell) = -81.0
data_Tb3Pm3YTe8
_chemical_formula_sum 'Tb3 Pm3 Y1 Te8'
_space_group_name_H-M_alt 'P 1'
_space_group_IT_number 1
_cell_length_a 8.8147
_cell_length_b 8.8147
_cell_length_c 8.8147
_cell_angle_alpha 59.83
_cell_angle_beta 59.83
_cell_angle_gamma 59.83
loop_
_space_group_symop_operation_xyz
'x,y,z'
loop_
_atom_site_label
_atom_site_type_symbol
_atom_site_fract_x
_atom_site_fract_y
_atom_site_fract_z
_atom_site_occupancy
Tb1 Tb 0.0000 0.5000 0.5000 1
Tb2 Tb 0.5000 0.0000 0.5000 1
Tb3 Tb 0.5000 0.5000 0.0000 1
Pm1 Pm 0.0000 0.0000 0.5000 1
Pm2 Pm 0.0000 0.5000 0.0000 1
Pm3 Pm 0.5000 0.0000 0.0000 1
Y1 Y 0.0000 0.0000 0.0000 1
Te1 Te 0.2525 0.2525 0.2525 1
Te2 Te 0.2533 0.2533 0.7417 1
Te3 Te 0.2533 0.7417 0.2533 1
Te4 Te 0.2583 0.7467 0.7467 1
Te5 Te 0.7417 0.2533 0.2533 1
Te6 Te 0.7467 0.2583 0.7467 1
Te7 Te 0.7467 0.7467 0.2583 1
Te8 Te 0.7475 0.7475 0.7475 1

---

# 6
# Tb3PmY2Te6 | Alexandria | PBE | optimized geometry
# - volume (Å³/atom) = 29.84
# - VASP energy (eV per cell) = -66.3
data_Tb3PmY2Te6
_chemical_formula_sum 'Tb3 Pm1 Y2 Te6'
_space_group_name_H-M_alt 'P 1'
_space_group_IT_number 1
_cell_length_a 9.8011
_cell_length_b 9.8011
_cell_length_c 8.8151
_cell_angle_alpha 102.82
_cell_angle_beta 102.82
_cell_angle_gamma 25.74
loop_
_space_group_symop_operation_xyz
'x,y,z'
loop_
_atom_site_label
_atom_site_type_symbol
_atom_site_fract_x
_atom_site_fract_y
_atom_site_fract_z
_atom_site_occupancy
Tb1 Tb 0.0000 0.0000 0.0000 1
Tb2 Tb 0.3368 0.3368 0.6665 1
Tb3 Tb 0.6632 0.6632 0.3335 1
Pm1 Pm 0.0000 0.0000 0.5000 1
Y1 Y 0.3355 0.3355 0.1699 1
Y2 Y 0.6645 0.6645 0.8301 1
Te1 Te 0.1679 0.1679 0.0832 1
Te2 Te 0.1702 0.1702 0.5855 1
Te3 Te 0.4991 0.4991 0.2440 1
Te4 Te 0.5009 0.5009 0.7560 1
Te5 Te 0.8298 0.8298 0.4145 1
Te6 Te 0.8321 0.8321 0.9168 1

---

# 7
# Tb3Pm2YTe6 | Alexandria | PBE | optimized geometry
# - volume (Å³/atom) = 30.19
# - VASP energy (eV per cell) = -64.8
data_Tb3Pm2YTe6
_chemical_formula_sum 'Tb3 Pm2 Y1 Te6'
_space_group_name_H-M_alt 'P 1'
_space_group_IT_number 1
_cell_length_a 9.8459
_cell_length_b 9.8459
_cell_length_c 8.8569
_cell_angle_alpha 102.98
_cell_angle_beta 102.98
_cell_angle_gamma 25.70
loop_
_space_group_symop_operation_xyz
'x,y,z'
loop_
_atom_site_label
_atom_site_type_symbol
_atom_site_fract_x
_atom_site_fract_y
_atom_site_fract_z
_atom_site_occupancy
Tb1 Tb 0.0000 0.0000 0.0000 1
Tb2 Tb 0.3298 0.3298 0.6664 1
Tb3 Tb 0.6702 0.6702 0.3336 1
Pm1 Pm 0.3312 0.3312 0.1639 1
Pm2 Pm 0.6688 0.6688 0.8361 1
Y1 Y 0.0000 0.0000 0.5000 1
Te1 Te 0.1638 0.1638 0.0875 1
Te2 Te 0.1647 0.1647 0.5770 1
Te3 Te 0.4976 0.4976 0.7481 1
Te4 Te 0.5024 0.5024 0.2519 1
Te5 Te 0.8353 0.8353 0.4230 1
Te6 Te 0.8362 0.8362 0.9125 1

---

# 8
# TbPm2Th | Alexandria | PBE | optimized geometry
# - volume (Å³/atom) = 33.35
# - offset from the most stable computed form (meV/atom) = 34
# - energy of formation from the pure elements (meV/atom) = 40
# - VASP energy (eV per cell) = -21.4
data_TbPm2Th
_chemical_formula_sum 'Tb1 Pm2 Th1'
_space_group_name_H-M_alt 'P 1'
_space_group_IT_number 1
_cell_length_a 3.6116
_cell_length_b 3.6116
_cell_length_c 10.2264
_cell_angle_alpha 90.00
_cell_angle_beta 90.00
_cell_angle_gamma 90.00
loop_
_space_group_symop_operation_xyz
'x,y,z'
loop_
_atom_site_label
_atom_site_type_symbol
_atom_site_fract_x
_atom_site_fract_y
_atom_site_fract_z
_atom_site_occupancy
Tb1 Tb 0.0000 0.0000 0.0000 1
Pm1 Pm 0.5000 0.5000 0.2570 1
Pm2 Pm 0.5000 0.5000 0.7430 1
Th1 Th 0.0000 0.0000 0.5000 1

---

# 9
# Tb3Pm4Th4 | Alexandria | PBE | optimized geometry
# - volume (Å³/atom) = 33.99
# - energy of formation from the pure elements (meV/atom) = 226
# - VASP energy (eV per cell) = -60.1
data_Tb3Pm4Th4
_chemical_formula_sum 'Tb3 Pm4 Th4'
_space_group_name_H-M_alt 'P 1'
_space_group_IT_number 1
_cell_length_a 11.6322
_cell_length_b 11.6322
_cell_length_c 11.6322
_cell_angle_alpha 162.61
_cell_angle_beta 127.13
_cell_angle_gamma 56.09
loop_
_space_group_symop_operation_xyz
'x,y,z'
loop_
_atom_site_label
_atom_site_type_symbol
_atom_site_fract_x
_atom_site_fract_y
_atom_site_fract_z
_atom_site_occupancy
Tb1 Tb 0.0000 0.0000 0.0000 1
Tb2 Tb 0.4102 0.9102 0.5000 1
Tb3 Tb 0.5898 0.0898 0.5000 1
Pm1 Pm 0.0289 0.3431 0.6858 1
Pm2 Pm 0.3427 0.6569 0.6858 1
Pm3 Pm 0.6573 0.3431 0.3142 1
Pm4 Pm 0.9711 0.6569 0.3142 1
Th1 Th 0.2693 0.2693 0.0000 1
Th2 Th 0.2760 0.5000 0.7760 1
Th3 Th 0.7240 0.5000 0.2240 1
Th4 Th 0.7307 0.7307 0.0000 1

---

# 10
# Tb2PmTh3 | Alexandria | PBE | optimized geometry
# - volume (Å³/atom) = 32.56
# - energy of formation from the pure elements (meV/atom) = 28
# - VASP energy (eV per cell) = -72.2
data_Tb2PmTh3
_chemical_formula_sum 'Tb4 Pm2 Th6'
_space_group_name_H-M_alt 'P 1'
_space_group_IT_number 1
_cell_length_a 8.0164
_cell_length_b 8.0164
_cell_length_c 11.3480
_cell_angle_alpha 115.11
_cell_angle_beta 115.11
_cell_angle_gamma 36.81
loop_
_space_group_symop_operation_xyz
'x,y,z'
loop_
_atom_site_label
_atom_site_type_symbol
_atom_site_fract_x
_atom_site_fract_y
_atom_site_fract_z
_atom_site_occupancy
Tb1 Tb 0.0403 0.0403 0.3682 1
Tb2 Tb 0.2943 0.2943 0.6314 1
Tb3 Tb 0.7057 0.7057 0.3686 1
Tb4 Tb 0.9597 0.9597 0.6318 1
Pm1 Pm 0.3727 0.3727 0.3691 1
Pm2 Pm 0.6273 0.6273 0.6309 1
Th1 Th 0.1235 0.1235 0.1212 1
Th2 Th 0.2096 0.2096 0.8788 1
Th3 Th 0.4575 0.4575 0.1217 1
Th4 Th 0.5425 0.5425 0.8783 1
Th5 Th 0.7904 0.7904 0.1212 1
Th6 Th 0.8765 0.8765 0.8788 1

---

# 11
# Tb2PmTh2 | Alexandria | PBE | optimized geometry
# - volume (Å³/atom) = 32.57
# - offset from the most stable computed form (meV/atom) = 0
# - energy of formation from the pure elements (meV/atom) = 16
# - VASP energy (eV per cell) = -28.8
data_Tb2PmTh2
_chemical_formula_sum 'Tb2 Pm1 Th2'
_space_group_name_H-M_alt 'P 1'
_space_group_IT_number 1
_cell_length_a 14.7333
_cell_length_b 14.7333
_cell_length_c 14.7333
_cell_angle_alpha 14.00
_cell_angle_beta 14.00
_cell_angle_gamma 14.00
loop_
_space_group_symop_operation_xyz
'x,y,z'
loop_
_atom_site_label
_atom_site_type_symbol
_atom_site_fract_x
_atom_site_fract_y
_atom_site_fract_z
_atom_site_occupancy
Tb1 Tb 0.0985 0.0985 0.0985 1
Tb2 Tb 0.9015 0.9015 0.9015 1
Pm1 Pm 0.5000 0.5000 0.5000 1
Th1 Th 0.3010 0.3010 0.3010 1
Th2 Th 0.6990 0.6990 0.6990 1